[1]
Density functional theory data (PBE) for a relaxed ScCr3Bi crystal.

a = 5.180 Å, b = 5.180 Å, c = 5.180 Å
α = 90.00°, β = 90.00°, γ = 90.00°
Site moments in Bohr magnetons follow the coordinates.
Fractional positions:
Sc1 0.500 0.500 0.500  -0.31
Cr1 0.000 0.500 0.000  3.79
Cr2 0.000 0.000 0.500  3.82
Cr3 0.500 0.000 0.000  3.64
Bi1 0.000 0.000 0.000  -0.12

Calculated total energy (eV per atom): -6.4358
DFT formation energy (kJ/mol of atoms): 133.2
Calculated volume (Å³ per cell): 139.0

[2]
Density functional theory data (PBE) for a relaxed Sc2CrBi crystal.

a = 10.312 Å, b = 10.312 Å, c = 10.312 Å
α = 18.70°, β = 18.70°, γ = 18.70°
Site moments in Bohr magnetons follow the coordinates.
Fractional positions:
Sc1 0.901 0.901 0.901  -0.15
Sc2 0.099 0.099 0.099  -0.15
Cr1 0.500 0.500 0.500  2.89
Bi1 0.000 0.000 0.000  0.03

Calculated total energy (eV per atom): -6.1980
DFT formation energy (kJ/mol of atoms): 33.2
Calculated volume (Å³ per cell): 98.5

[3]
Density functional theory data (PBE) for a relaxed Sc3CrBi crystal.

a = 4.911 Å, b = 4.911 Å, c = 4.911 Å
α = 90.00°, β = 90.00°, γ = 90.00°
Site moments in Bohr magnetons follow the coordinates.
Fractional positions:
Sc1 0.000 0.500 0.000  -0.06
Sc2 0.000 0.000 0.500  -0.06
Sc3 0.500 0.000 0.000  -0.03
Cr1 0.000 0.000 0.000  1.05
Bi1 0.500 0.500 0.500  0.01

Calculated total energy (eV per atom): -6.3072
DFT formation energy (kJ/mol of atoms): 18.6
Calculated volume (Å³ per cell): 118.4

[4]
Density functional theory data (PBE) for a relaxed ScTaCr2Bi crystal.

a = 4.756 Å, b = 5.135 Å, c = 4.756 Å
α = 90.00°, β = 90.00°, γ = 90.00°
Fractional positions:
Sc1 0.000 0.500 0.000
Cr1 0.000 0.000 0.500
Cr2 0.500 0.000 0.000
Bi1 0.000 0.000 0.000
Ta1 0.500 0.500 0.500

Calculated total energy (eV per atom): -6.2286
DFT formation energy (kJ/mol of atoms): 196.2
Calculated volume (Å³ per cell): 116.2

[5]
Density functional theory data (PBE) for a relaxed CrBiSe2 crystal.

a = 3.758 Å, b = 3.758 Å, c = 8.835 Å
α = 90.00°, β = 90.00°, γ = 120.00°
Site moments in Bohr magnetons follow the coordinates.
Fractional positions:
Cr1 0.333 0.667 0.453  3.23
Bi1 0.000 0.000 0.950  0.07
Se1 0.333 0.667 0.729  -0.07
Se2 0.667 0.333 0.323  -0.15

Calculated total energy (eV per atom): -5.2066
Formation energy (no corrections) (eV/atom): -0.0882
Calculated volume (Å³ per cell): 108.1

[6]
Density functional theory data (PBE) for a relaxed CrBiSe2 crystal.

a = 3.646 Å, b = 3.646 Å, c = 8.442 Å
α = 90.00°, β = 90.00°, γ = 120.00°
Site moments in Bohr magnetons follow the coordinates.
Fractional positions:
Cr1 0.000 0.000 0.987  2.92
Bi1 0.333 0.667 0.493  0.04
Se1 0.333 0.667 0.823  -0.06
Se2 0.667 0.333 0.152  -0.10

Calculated total energy (eV per atom): -5.4834
Formation energy (no corrections) (eV/atom): -0.3651
Calculated volume (Å³ per cell): 97.2

[7]
Density functional theory data (PBE) for a relaxed CrBiSe2 crystal.

a = 8.888 Å, b = 8.888 Å, c = 8.888 Å
α = 23.76°, β = 23.76°, γ = 23.76°
Site moments in Bohr magnetons follow the coordinates.
Fractional positions:
Cr1 0.500 0.500 0.500  2.92
Bi1 0.000 0.000 0.000  0.03
Se1 0.886 0.886 0.886  -0.08
Se2 0.114 0.114 0.114  -0.08

Calculated total energy (eV per atom): -5.5142
Formation energy (no corrections) (eV/atom): -0.3959
Calculated volume (Å³ per cell): 100.1

[8]
Density functional theory data (PBE) for a relaxed CrBiSe2 crystal.

a = 4.147 Å, b = 4.147 Å, c = 5.804 Å
α = 90.00°, β = 90.00°, γ = 90.00°
Site moments in Bohr magnetons follow the coordinates.
Fractional positions:
Cr1 0.000 0.000 0.500  3.98
Bi1 0.500 0.500 0.000  0.12
Se1 0.500 0.500 0.500  -0.07
Se2 0.000 0.000 0.000  -0.03

Calculated total energy (eV per atom): -5.2056
Formation energy (no corrections) (eV/atom): -0.0873
Calculated volume (Å³ per cell): 99.8

[9]
Density functional theory data (PBE) for a relaxed Cr3BiSe crystal.

a = 5.263 Å, b = 5.263 Å, c = 5.263 Å
α = 90.00°, β = 90.00°, γ = 90.00°
Site moments in Bohr magnetons follow the coordinates.
Fractional positions:
Cr1 0.000 0.500 0.000  3.90
Cr2 0.000 0.000 0.500  4.13
Cr3 0.500 0.000 0.000  3.83
Bi1 0.000 0.000 0.000  -0.18
Se1 0.500 0.500 0.500  -0.18

Calculated total energy (eV per atom): -6.0313
Formation energy (no corrections) (eV/atom): 1.2158
Calculated volume (Å³ per cell): 145.8

[10]
Density functional theory data (PBE) for a relaxed CrBiSe2 crystal.

a = 9.026 Å, b = 9.026 Å, c = 9.026 Å
α = 24.24°, β = 24.24°, γ = 24.24°
Site moments in Bohr magnetons follow the coordinates.
Fractional positions:
Cr1 0.009 0.009 0.009  3.24
Bi1 0.509 0.509 0.509  0.07
Se1 0.101 0.101 0.101  -0.08
Se2 0.633 0.633 0.633  -0.14

Calculated total energy (eV per atom): -5.2259
Formation energy (no corrections) (eV/atom): -0.1076
Calculated volume (Å³ per cell): 109.0

[11]
Density functional theory data (PBE) for a relaxed CrBiSe2 crystal.

a = 14.513 Å, b = 14.513 Å, c = 3.820 Å
α = 90.00°, β = 90.00°, γ = 166.36°
Site moments in Bohr magnetons follow the coordinates.
Fractional positions:
Cr1 0.309 0.691 0.250  2.98
Cr2 0.691 0.309 0.750  2.98
Bi1 0.045 0.955 0.250  0.04
Bi2 0.955 0.045 0.750  0.04
Se1 0.217 0.783 0.250  -0.22
Se2 0.783 0.217 0.750  -0.22
Se3 0.874 0.126 0.250  -0.15
Se4 0.126 0.874 0.750  -0.15

Calculated total energy (eV per atom): -5.2717
Formation energy (no corrections) (eV/atom): -0.1533
Calculated volume (Å³ per cell): 189.7

[12]
Density functional theory data (PBE) for a relaxed Cr4BiSe8 crystal.

a = 7.294 Å, b = 7.294 Å, c = 8.098 Å
α = 63.23°, β = 63.23°, γ = 60.00°
Site moments in Bohr magnetons follow the coordinates.
Fractional positions:
Cr1 0.000 0.500 0.000  2.85
Cr2 0.500 0.500 0.000  2.85
Cr3 0.500 0.000 0.000  2.85
Cr4 0.000 0.000 0.000  3.10
Bi1 0.500 0.500 0.500  0.16
Se1 0.734 0.236 0.795  -0.14
Se2 0.764 0.266 0.205  -0.14
Se3 0.266 0.764 0.205  -0.14
Se4 0.764 0.764 0.205  -0.14
Se5 0.735 0.735 0.795  -0.20
Se6 0.265 0.265 0.205  -0.20
Se7 0.236 0.236 0.795  -0.14
Se8 0.236 0.734 0.795  -0.14

Calculated total energy (eV per atom): -5.8422
Formation energy (no corrections) (eV/atom): -0.4383
Calculated volume (Å³ per cell): 318.7